# 1
# Hg4AuSe

A geometry-optimized Hg4AuSe structure (GGA-PBE, Alexandria).

Computed properties:
M_tot: 0.00 μB per cell
N(E_F): 4.2 states/eV/cell
E_form (uncorrected): 0.4176 eV per atom

Cell lengths 5.9127, 5.9127, 5.9127 Å; angles 60.00, 60.00, 60.00 degrees
Last column: nearest neighbours and their distance in Å.
Sites, in units of the cell vectors:
Hg 0.8750 0.3750 0.3750  6 Hg 2.96
Hg 0.3750 0.3750 0.8750  6 Hg 2.96
Hg 0.3750 0.8750 0.3750  6 Hg 2.96
Hg 0.3750 0.3750 0.3750  6 Hg 2.96
Au 0.0000 0.0000 0.0000  12 Hg 3.47, 4 Se 3.62
Se 0.7500 0.7500 0.7500  12 Hg 3.47, 4 Au 3.62



# 2
# K3Cu2HgCl9

A geometry-optimized K3Cu2HgCl9 structure (GGA-PBE, Alexandria).

Computed properties:
M_tot: 0.00 μB per cell
N(E_F): 3.6 states/eV/cell
E_form (uncorrected): -1.0772 eV per atom

Cell lengths 7.0557, 7.0557, 8.7280 Å; angles 90.00, 90.00, 120.00 degrees
Last column: nearest neighbours and their distance in Å.
Sites, in units of the cell vectors:
Cl 0.8265 0.1735 0.6818  1 Cu 2.42, 1 Hg 2.65
Cl 0.5000 0.0000 0.0000  2 Cu 2.44
Cu 0.6667 0.3333 0.8461  6 Cl 2.42-2.44
Cu 0.3333 0.6667 0.1539  6 Cl 2.42-2.44
Hg 0.0000 0.0000 0.5000  6 Cl 2.65
Cl 0.3471 0.1735 0.6818  1 Cu 2.42, 1 Hg 2.65
K 0.3333 0.6667 0.6769  12 Cl 3.48-3.69
Cl 0.1735 0.3471 0.3182  1 Cu 2.42, 1 Hg 2.65
K 0.0000 0.0000 0.0000  12 Cl 3.49-3.53
Cl 0.5000 0.5000 0.0000  2 Cu 2.44
K 0.6667 0.3333 0.3231  12 Cl 3.48-3.69
Cl 0.6529 0.8265 0.3182  1 Cu 2.42, 1 Hg 2.65
Cl 0.0000 0.5000 0.0000  2 Cu 2.44
Cl 0.8265 0.6529 0.6818  1 Cu 2.42, 1 Hg 2.65
Cl 0.1735 0.8265 0.3182  1 Cu 2.42, 1 Hg 2.65



# 3
# Nd3SiSn2

A geometry-optimized Nd3SiSn2 structure (GGA-PBE, Alexandria).

Computed properties:
M_tot: 1.58 μB per cell
N(E_F): 18.2 states/eV/cell
E_form (uncorrected): -0.6758 eV per atom

Cell lengths 4.3847, 12.3088, 12.6883 Å; angles 90.00, 90.00, 90.00 degrees
Last column: nearest neighbours and their distance in Å.
Sites, in units of the cell vectors:
Si 0.2500 0.3706 0.6274  3 Sn 2.75-2.81, 2 Nd 3.04
Si 0.2500 0.1294 0.1274  3 Sn 2.75-2.81, 2 Nd 3.04
Nd 0.7500 0.8799 0.4440  5 Sn 3.19-3.47, 1 Si 3.21
Nd 0.7500 0.5497 0.6136  3 Si 3.11-3.21, 5 Sn 3.24-3.35
Nd 0.2500 0.4503 0.3864  3 Si 3.11-3.21, 5 Sn 3.24-3.35
Si 0.7500 0.8706 0.8726  3 Sn 2.75-2.81, 2 Nd 3.04
Nd 0.7500 0.2148 0.2709  2 Si 3.04, 2 Sn 3.17-3.36
Nd 0.2500 0.0497 0.8864  3 Si 3.11-3.21, 5 Sn 3.24-3.35
Nd 0.2500 0.7852 0.7291  2 Si 3.04, 2 Sn 3.17-3.36
Sn 0.7500 0.9961 0.6935  1 Si 2.75
Sn 0.2500 0.6991 0.4934  2 Si 2.81
Nd 0.2500 0.3799 0.0560  5 Sn 3.19-3.47, 1 Si 3.21
Sn 0.2500 0.8009 0.9934  2 Si 2.81
Nd 0.7500 0.9503 0.1136  3 Si 3.11-3.21, 5 Sn 3.24-3.35
Si 0.7500 0.6294 0.3726  3 Sn 2.75-2.81, 2 Nd 3.04
Sn 0.7500 0.3009 0.5066  2 Si 2.81
Sn 0.2500 0.4961 0.8065  1 Si 2.75
Sn 0.7500 0.5039 0.1935  1 Si 2.75
Nd 0.7500 0.6201 0.9440  5 Sn 3.19-3.47, 1 Si 3.21
Nd 0.2500 0.7148 0.2291  2 Si 3.04, 2 Sn 3.17-3.36
Nd 0.2500 0.1201 0.5560  5 Sn 3.19-3.47, 1 Si 3.21
Nd 0.7500 0.2852 0.7709  2 Si 3.04, 2 Sn 3.17-3.36
Sn 0.7500 0.1991 0.0066  2 Si 2.81
Sn 0.2500 0.0039 0.3065  1 Si 2.75



# 4
# SrGeAsBr2

A geometry-optimized SrGeAsBr2 structure (GGA-PBE, Alexandria).

Computed properties:
M_tot: 0.00 μB per cell
N(E_F): 4.4 states/eV/cell
E_form (uncorrected): -0.5925 eV per atom

Cell lengths 5.3752, 5.3752, 5.1640 Å; angles 90.00, 90.00, 90.00 degrees
Last column: nearest neighbours and their distance in Å.
Sites, in units of the cell vectors:
Sr 0.5000 0.5000 0.5000  8 Br 3.73, 4 As 3.80
As 0.0000 0.0000 0.5000  2 Ge 2.58
Br 0.0000 0.5000 0.0000  2 Ge 2.69
Ge 0.0000 0.0000 0.0000  2 As 2.58, 4 Br 2.69
Br 0.5000 0.0000 0.0000  2 Ge 2.69



Question: Number 4 is which compound?
Answer: SrGeAsBr2